1.
The following is a DFT calculation (meta-GGA SCAN) of a crystal of HgAsSe2Br relaxed with PBEsol.

a = 5.114 Å, b = 5.114 Å, c = 5.305 Å
α = 90.00°, β = 90.00°, γ = 90.00°
Element x y z (fractional)
Hg1 0.000 0.000 0.000
Se1 0.500 0.000 0.000
Se2 0.000 0.500 0.000
Br1 0.500 0.500 0.500
As1 0.000 0.000 0.500

Values from the calculation:
* electronic total energy: -1.05463 hartree per atom
* total magnetization: 0.00 μB/f.u.
* uncorrected formation energy: 0.8966 eV/atom
* space-group type: P4/mmm

***

2.
The following is a DFT calculation (meta-GGA SCAN) of a crystal of RbTl2CoSn relaxed with PBEsol.

a = 5.943 Å, b = 5.943 Å, c = 6.030 Å
α = 90.00°, β = 90.00°, γ = 90.00°
Element x y z (fractional)
Sn1 0.000 0.000 0.500
Co1 0.500 0.500 0.500
Tl1 0.000 0.500 0.000
Tl2 0.500 0.000 0.000
Rb1 0.000 0.000 0.000

Values from the calculation:
* electronic total energy: -1.55027 hartree per atom
* total magnetization: 2.17 μB/f.u.
* space-group type: P4/mmm

***

3.
The following is a DFT calculation (meta-GGA SCAN) of a crystal of BaCu2Ru relaxed with PBEsol.

a = 3.257 Å, b = 3.257 Å, c = 6.870 Å
α = 90.00°, β = 90.00°, γ = 90.00°
Element x y z (fractional)
Ru1 0.500 0.500 0.000
Ba1 0.500 0.500 0.500
Cu1 0.000 0.000 0.831
Cu2 0.000 0.000 0.169

Values from the calculation:
* E above lowest polymorph: 1.24 eV per formula unit
* electronic total energy: -0.94368 hartree per atom
* total magnetization: 0.00 μB/f.u.
* space-group type: P4/mmm